First-principles (PBEsol) data for an optimized crystal structure of Si2PtBr, as listed in Alexandria.

Output
space-group type	P4/mmm, No. 123
polymorph energy (0 for the lowest one)	0.321	eV per atom
raw formation energy	0.35	eV per atom

abc: 4.769 4.769 2.906
angles: 90.00 90.00 90.00
Element x y z (fractional)
Si: 0.000 0.500 0.000
Si: 0.500 0.000 0.000
Pt: 0.000 0.000 0.500
Br: 0.500 0.500 0.500